1.
Density functional theory data (PBE-GGA) for a relaxed structure of HfGa2F2.

Cell lengths 3.310, 3.310, 13.643 Å; angles 90.00, 90.00, 90.00 degrees
Space group I4/mmm (No. 139)
Symmetry-distinct sites (fractional):
Hf (0.000, 0.000, 0.000)
Ga (0.000, 0.000, 0.360)
F (0.000, 0.500, 0.250)

Results
N(E_F) ... 6.0 states/eV/cell
Distance to the lowest polymorph of the same formula ... 0.063 eV per atom
Crystal system ... tetragonal
E_form (uncorrected) ... -100.1 kJ/mol of atoms
Calculated volume ... 74.7 Å³/f.u.
Theoretical density ... 7.910 g/cm³

---

2.
Density functional theory data (PBE-GGA) for a relaxed structure of TaBePb.

Cell lengths 4.255, 4.835, 10.539 Å; angles 90.00, 90.00, 90.00 degrees
Space group Fmm2 (No. 42)
Symmetry-distinct sites (fractional):
Ta (0.000, 0.000, 0.000)
Be (0.000, 0.000, 0.618)
Pb (0.000, 0.000, 0.295)

Results
N(E_F) ... 7.9 states/eV/cell
Distance to the lowest polymorph of the same formula ... 0.040 eV per atom
Formation energy ... 55 kJ per mole of atoms
Crystal system ... orthorhombic
Calculated volume ... 54.2 Å³/f.u.
Theoretical density ... 12.166 g/cm³

---

3.
Density functional theory data (PBE-GGA) for a relaxed structure of Pm3Dy8Y.

Cell lengths 15.772, 6.307, 10.911 Å; angles 90.00, 133.69, 90.00 degrees
Space group C2 (No. 5)
Symmetry-distinct sites (fractional):
Pm (0.000, 0.000, 0.000)
Pm (0.250, 0.164, 0.750)
Dy (0.000, 0.497, 0.168)
Dy (0.000, 0.997, 0.333)
Dy (0.249, 0.667, 0.917)
Dy (0.249, 0.668, 0.581)
Y (0.000, 0.499, 0.500)

Results
N(E_F) ... 44.6 states/eV/cell
Formation energy ... 2 kJ per mole of atoms
Crystal system ... monoclinic
Calculated volume ... 392.4 Å³/f.u.
Theoretical density ... 7.718 g/cm³

---

4.
Density functional theory data (PBE-GGA) for a relaxed structure of MnCu2H.

Cell lengths 5.275, 5.275, 6.580 Å; angles 90.00, 90.00, 90.00 degrees
Space group I-42d (No. 122)
Symmetry-distinct sites (fractional):
Mn (0.000, 0.000, 0.000)
Cu (0.091, 0.750, 0.625)
H (0.000, 0.000, 0.500)

Results
N(E_F) ... 7.3 states/eV/cell
Distance to the lowest polymorph of the same formula ... 0.000 eV per atom
Crystal system ... tetragonal
Calculated volume ... 45.8 Å³/f.u.
Theoretical density ... 6.640 g/cm³

---

5.
Density functional theory data (PBE-GGA) for a relaxed structure of TaOs2Pt.

Cell lengths 2.785, 2.785, 8.023 Å; angles 90.00, 90.00, 90.00 degrees
Space group P4/mmm (No. 123)
Symmetry-distinct sites (fractional):
Ta (0.000, 0.000, 0.000)
Os (0.500, 0.500, 0.254)
Pt (0.000, 0.000, 0.500)

Results
N(E_F) ... 4.6 states/eV/cell
Distance to the lowest polymorph of the same formula ... 0.410 eV per atom
Formation energy ... 5 kJ per mole of atoms
Crystal system ... tetragonal
Calculated volume ... 62.2 Å³/f.u.
Theoretical density ... 20.194 g/cm³

---

6.
Density functional theory data (PBE-GGA) for a relaxed structure of Sr2Ca2As.

Cell lengths 7.947, 7.947, 6.450 Å; angles 90.00, 90.00, 90.00 degrees
Space group P4/mbm (No. 127)
Symmetry-distinct sites (fractional):
Sr (0.168, 0.332, 0.000)
Ca (0.166, 0.666, 0.500)
As (0.000, 0.000, 0.500)

Results
N(E_F) ... 12.4 states/eV/cell
Formation energy ... -28 kJ per mole of atoms
Crystal system ... tetragonal
Calculated volume ... 203.7 Å³/f.u.
Theoretical density ... 2.693 g/cm³

---

7.
Density functional theory data (PBE-GGA) for a relaxed structure of Ta2SiOs.

Cell lengths 2.929, 3.992, 5.405 Å; angles 90.00, 90.00, 90.00 degrees
Space group Pmmm (No. 47)
Symmetry-distinct sites (fractional):
Ta (0.000, 0.000, 0.249)
Si (0.500, 0.500, 0.500)
Os (0.500, 0.500, 0.000)

Results
N(E_F) ... 2.7 states/eV/cell
Crystal system ... orthorhombic
E_form (uncorrected) ... -25.3 kJ/mol of atoms
Calculated volume ... 63.2 Å³/f.u.
Theoretical density ... 15.244 g/cm³

---

8.
Density functional theory data (PBE-GGA) for a relaxed structure of La2Tl3PbSe6.

Cell lengths 19.806, 4.403, 9.021 Å; angles 90.00, 105.23, 90.00 degrees
Space group C2/m (No. 12)
Symmetry-distinct sites (fractional):
La (0.166, 0.000, 0.330)
Tl (0.000, 0.500, 0.500)
Tl (0.167, 0.000, 0.834)
Pb (0.000, 0.500, 0.000)
Se (0.008, 0.000, 0.246)
Se (0.162, 0.500, 0.102)
Se (0.175, 0.500, 0.563)

Results
N(E_F) ... 14.9 states/eV/cell
Crystal system ... monoclinic
E_form (uncorrected) ... -104.7 kJ/mol of atoms
Calculated volume ... 379.5 Å³/f.u.
Theoretical density ... 6.878 g/cm³

---

Computed magnetic moment, in the same sequence as the records: 0.0, 0.0, 0.0, 4.0, 0.0, 0.0, 0.0, 0.0 μB per formula unit.